A relaxed structure of VIrO3, computed with GGA+U.

Summary:
Volume ... 12.15 Å³/atom
Final energy ... -6.443 eV per atom

```
VIrO3
1.0
-3.516 1.482 -0.946
-1.728 -3.303 1.250
-0.324 1.534 3.605
O V Ir
3 1 1
Cartesian
-1.920 1.508 1.329 O
-1.026 -0.884 2.428 O
-2.622 -0.911 0.152 O
0.000 0.000 0.000 V
-2.784 -0.143 1.954 Ir
```

A relaxed structure of V2IrO, computed with GGA+U.

Summary:
Volume ... 14.53 Å³/atom
Final energy ... -7.381 eV per atom

```
V2IrO
1.0
5.907 0.000 0.000
0.000 5.907 0.000
2.953 2.953 3.332
V O Ir
4 2 2
Cartesian
3.964 1.477 0.833 V
1.942 4.430 0.833 V
7.383 6.917 2.499 V
4.430 4.896 2.499 V
2.953 5.907 1.666 O
2.953 2.953 0.000 O
0.000 0.000 0.000 Ir
5.907 2.953 1.666 Ir
```

A relaxed structure of VIrO5, computed with GGA+U.

Summary:
Volume ... 14.06 Å³/atom
Final energy ... -7.059 eV per atom

```
VIrO5
1.0
5.262 0.576 -1.637
-0.963 5.124 -1.880
-0.360 -0.647 7.517
O V Ir
10 2 2
Cartesian
0.925 1.547 3.757 O
0.925 1.677 -0.546 O
3.247 0.555 4.976 O
3.003 3.518 0.232 O
4.735 1.451 -0.078 O
0.501 3.347 1.644 O
0.680 4.510 -0.987 O
3.002 3.389 4.535 O
3.426 1.719 2.345 O
-0.807 3.615 4.067 O
2.655 1.809 3.900 V
1.273 3.257 0.089 V
4.896 -0.064 5.875 Ir
4.594 2.821 1.176 Ir
```

A relaxed structure of V2IrO8, computed with GGA+U.

Summary:
Volume ... 18.61 Å³/atom
Final energy ... -6.870 eV per atom

```
V2IrO8
1.0
-3.844 -0.067 -3.323
-1.962 -5.922 1.703
-4.515 1.009 4.517
O V Ir
8 2 1
Cartesian
-6.830 -4.329 4.463 O
-6.541 0.344 0.637 O
-3.491 -0.651 -1.565 O
-4.833 -4.289 -1.245 O
-3.780 -5.324 2.262 O
-6.864 -3.265 1.811 O
-3.456 -1.715 1.087 O
-5.487 -0.691 4.143 O
-7.749 -4.042 2.922 V
-2.572 -0.938 -0.024 V
0.000 0.000 0.000 Ir
```

A relaxed structure of V2IrO6, computed with GGA+U.

Summary:
Volume ... 10.83 Å³/atom
Final energy ... -7.378 eV per atom

```
V2IrO6
1.0
-1.741 -3.983 0.528
6.243 -1.953 5.856
-7.530 3.645 2.663
O V Ir
18 6 3
Cartesian
-4.807 -1.186 2.504 O
1.841 -3.730 5.544 O
0.201 -0.882 1.776 O
-0.639 0.223 7.338 O
-2.388 0.238 2.626 O
-5.242 -0.613 5.384 O
-2.812 0.795 5.432 O
-0.333 -0.445 4.563 O
-0.216 -3.087 3.614 O
-2.695 -1.846 4.484 O
-0.640 -2.529 6.421 O
-3.229 -1.409 7.271 O
-7.306 -0.134 3.447 O
-4.869 1.439 3.503 O
1.778 -1.106 6.543 O
-2.389 -2.514 1.709 O
2.214 -1.678 3.662 O
4.277 -2.157 5.599 O
-0.848 1.114 5.611 V
-4.960 2.401 1.754 V
4.112 -1.286 3.857 V
-2.571 1.244 0.909 V
2.131 -0.667 1.999 V
-0.439 0.578 2.908 V
0.000 0.000 0.000 Ir
0.780 -2.081 5.056 Ir
-3.809 -0.210 3.991 Ir
```

A relaxed structure of V3IrO, computed with GGA+U.

Summary:
Volume ... 22.34 Å³/atom
Final energy ... -5.628 eV per atom

```
V3IrO
1.0
-3.039 -2.131 3.069
-2.812 -1.300 -3.688
2.460 -4.119 -0.424
V Ir O
3 1 1
Cartesian
1.230 -2.059 -0.212 V
-1.520 -1.066 1.534 V
-1.406 -0.650 -1.844 V
0.000 0.000 0.000 Ir
-1.696 -3.775 -0.521 O
```

A relaxed structure of VZn2IrO6, computed with GGA+U.

Summary:
Volume ... 10.38 Å³/atom
Final energy ... -6.135 eV per atom

```
VZn2IrO6
1.0
-1.780 -3.595 -3.328
3.058 -3.575 2.226
-2.575 -5.308 7.111
O V Zn Ir
12 2 4 2
Cartesian
-2.339 -5.821 1.999 O
-0.942 -4.515 3.989 O
0.008 -8.798 8.040 O
1.042 -6.657 4.009 O
0.062 -2.433 -0.096 O
-1.872 -7.398 4.181 O
-0.356 -7.963 2.019 O
0.575 -5.080 1.827 O
-0.141 -6.579 6.452 O
-1.157 -5.899 -0.444 O
-1.360 -10.045 6.104 O
-1.306 -3.680 -2.032 O
-0.890 -1.797 -1.664 V
-1.288 -2.654 3.555 V
-0.524 -8.327 5.403 Zn
-2.860 -8.418 2.668 Zn
1.562 -4.061 3.340 Zn
-0.774 -4.151 0.605 Zn
1.529 -1.788 1.113 Ir
-0.649 -6.239 3.004 Ir
```

A relaxed structure of ZrVIr2O, computed with GGA+U.

Summary:
Volume ... 20.16 Å³/atom
Final energy ... -6.204 eV per atom

```
ZrVIr2O
1.0
4.423 0.000 0.000
0.000 5.154 0.000
0.000 0.000 4.423
Ir Zr V O
2 1 1 1
Cartesian
2.211 0.000 0.000 Ir
0.000 0.000 2.211 Ir
0.000 2.577 0.000 Zr
0.000 0.000 0.000 V
2.211 2.577 2.211 O
```

A relaxed structure of Ir2WO, computed with GGA+U.

Summary:
Volume ... 17.03 Å³/atom
Final energy ... -6.824 eV per atom

```
Ir2WO
1.0
5.669 0.000 0.000
0.000 5.669 0.000
2.835 2.835 4.237
O W Ir
2 2 4
Cartesian
2.835 5.669 2.119 O
2.835 2.835 0.000 O
0.000 0.000 0.000 W
5.669 2.835 2.119 W
7.087 6.799 3.178 Ir
4.252 4.539 3.178 Ir
1.705 4.252 1.059 Ir
3.965 1.417 1.059 Ir
```

A relaxed structure of Zn2IrWO6, computed with GGA+U.

Summary:
Volume ... 10.90 Å³/atom
Final energy ... -6.142 eV per atom

```
Zn2IrWO6
1.0
-1.750 4.668 -1.816
-2.749 -2.504 -3.787
-8.791 -2.889 1.044
O W Ir Zn
12 2 2 4
Cartesian
-6.494 1.264 -0.992 O
-8.501 -3.280 -1.816 O
-1.810 0.721 -1.547 O
-7.371 0.762 -3.833 O
-8.666 -0.275 -1.683 O
-2.353 3.388 -1.778 O
-4.624 -0.450 -2.876 O
-6.796 -1.989 -3.568 O
-4.789 2.554 -2.744 O
-5.919 -1.488 -0.727 O
-11.480 -1.447 -3.013 O
-10.937 -4.114 -2.782 O
-0.875 2.334 -0.908 W
-4.396 -1.445 0.522 W
-1.374 -1.252 -1.894 Ir
-6.645 -0.363 -2.280 Ir
-3.827 1.047 -1.701 Zn
-4.266 -2.463 -2.549 Zn
-9.024 1.737 -2.010 Zn
-9.462 -1.772 -2.859 Zn
```